(1)
! LiCrPb2 SCAN single point on PBEsol structure; values from VASP
&SYSTEM
  ibrav = 0, nat = 4, ntyp = 3
/
ATOMIC_SPECIES
Li 6.94 Li.upf
Pb 207.20 Pb.upf
Cr 52.00 Cr.upf
ATOMIC_POSITIONS angstrom
Li 0.000 2.099 2.465
Pb 2.099 0.000 2.465
Pb 0.000 0.000 0.000
Cr 2.099 2.099 0.000
CELL_PARAMETERS angstrom
4.197 0.000 0.000
0.000 4.197 0.000
-2.099 -2.099 4.929
! - calculated formation energy (eV/atom) = 0.004
! - final energy (eV/cell) = -172.3
! - DOS(E_F) (states/eV per cell) = 1.74
! - SG = No. 119

***

(2)
! LaNb2F SCAN single point on PBEsol structure; values from VASP
&SYSTEM
  ibrav = 0, nat = 4, ntyp = 3
/
ATOMIC_SPECIES
Nb 92.91 Nb.upf
La 138.91 La.upf
F 19.00 F.upf
ATOMIC_POSITIONS angstrom
Nb 2.325 1.342 0.949
Nb 6.976 4.027 2.848
La 4.651 2.685 1.899
F 0.000 0.000 0.000
CELL_PARAMETERS angstrom
4.651 0.000 0.000
2.325 4.027 0.000
2.325 1.342 3.797
! - final energy (eV/cell) = -110.7
! - DOS(E_F) (states/eV per cell) = 3.60
! - SG = No. 225

***

(3)
! CdAgMo SCAN single point on PBEsol structure; values from VASP
&SYSTEM
  ibrav = 0, nat = 3, ntyp = 3
/
ATOMIC_SPECIES
Ag 107.87 Ag.upf
Cd 112.41 Cd.upf
Mo 95.94 Mo.upf
ATOMIC_POSITIONS angstrom
Ag 0.000 0.000 0.037
Cd 0.000 1.627 4.880
Mo 1.409 0.814 2.393
CELL_PARAMETERS angstrom
2.819 0.000 0.000
-1.409 2.441 0.000
0.000 0.000 7.310
! - calculated formation energy (eV/atom) = 0.394
! - final energy (eV/cell) = -95.5
! - DOS(E_F) (states/eV per cell) = 2.36
! - SG = No. 156
! - ΔE to the lowest computed polymorph (meV per atom) = 41

***

(4)
! SiAsW SCAN single point on PBEsol structure; values from VASP
&SYSTEM
  ibrav = 0, nat = 3, ntyp = 3
/
ATOMIC_SPECIES
W 183.84 W.upf
As 74.92 As.upf
Si 28.09 Si.upf
ATOMIC_POSITIONS angstrom
W 0.000 0.000 0.000
As -0.151 0.775 -5.027
Si -0.226 1.163 -7.540
CELL_PARAMETERS angstrom
-0.577 2.838 -2.979
2.173 -0.227 -3.534
-1.897 -1.061 -3.541
! - final energy (eV/cell) = -97.4
! - DOS(E_F) (states/eV per cell) = 2.81
! - SG = No. 216

***

(5)
! Na3VS2O2 SCAN single point on PBEsol structure; values from VASP
&SYSTEM
  ibrav = 0, nat = 64, ntyp = 4
/
ATOMIC_SPECIES
S 32.06 S.upf
V 50.94 V.upf
Na 22.99 Na.upf
O 16.00 O.upf
ATOMIC_POSITIONS angstrom
S -1.586 -10.687 2.193
S -3.626 -11.097 -1.509
S -0.679 -8.301 -1.143
S -3.270 -3.113 2.370
S 1.072 -16.180 3.925
S 5.349 -9.519 8.527
S 2.840 -15.834 7.771
S 3.309 -9.929 4.825
S 1.156 -8.260 7.948
S -1.117 -4.782 -0.753
S -2.297 -7.231 2.727
S 0.567 -12.355 -0.930
S 4.019 -13.384 4.291
S 4.993 -17.502 4.648
S 0.651 -4.436 3.093
S 2.401 -12.314 8.161
V 2.568 -11.797 3.928
V 5.697 -10.146 10.586
V 2.329 -4.751 4.450
V -0.800 -6.402 -2.209
V -0.606 -15.865 2.568
V -3.974 -10.470 -3.568
V 2.523 -14.213 9.226
V -0.845 -8.818 3.090
Na 5.679 -13.294 9.474
Na -3.022 -9.039 0.452
Na 0.125 -6.475 1.091
Na 1.461 -13.605 1.348
Na 5.368 -15.304 6.452
Na -0.695 -2.505 0.940
Na 3.744 -15.847 2.774
Na 4.745 -11.576 6.566
Na -0.842 -12.777 3.814
Na -1.915 -12.942 0.451
Na 3.637 -7.674 6.567
Na 2.565 -7.839 3.204
Na -2.022 -4.769 4.244
Na 2.418 -18.111 6.078
Na -0.876 -10.746 -2.701
Na 2.599 -9.870 9.719
Na -1.653 -8.150 -4.922
Na -3.956 -7.322 -2.456
Na 3.376 -12.466 11.940
Na 1.035 -10.136 0.825
Na 0.262 -7.011 5.670
Na -3.645 -5.311 0.566
Na 0.688 -10.480 6.193
Na 1.598 -14.140 5.927
O -4.441 -7.341 -0.269
O 0.584 -8.398 2.318
O -1.371 -5.617 6.311
O 3.094 -14.998 0.707
O 2.297 -11.637 2.275
O -4.948 -9.098 -3.593
O 6.164 -13.274 7.287
O -2.030 -6.467 -3.355
O -0.621 -14.268 2.037
O -0.574 -8.979 4.743
O -2.486 -10.122 -4.261
O 2.344 -6.348 4.981
O 1.139 -12.217 4.700
O 6.671 -11.518 10.611
O 4.209 -10.493 11.279
O 3.753 -14.149 10.373
CELL_PARAMETERS angstrom
-5.114 -1.200 2.700
-1.607 -9.026 -7.054
8.443 -10.390 11.371
! - final energy (eV/cell) = -612.6
! - DOS(E_F) (states/eV per cell) = 0.00
! - SG = No. 61

***

(6)
! La2YSc SCAN single point on PBEsol structure; values from VASP
&SYSTEM
  ibrav = 0, nat = 4, ntyp = 3
/
ATOMIC_SPECIES
Y 88.91 Y.upf
La 138.91 La.upf
Sc 44.96 Sc.upf
ATOMIC_POSITIONS angstrom
Y 0.000 0.000 0.000
La 2.536 0.000 2.365
La 0.000 2.536 2.365
Sc 2.536 2.536 0.000
CELL_PARAMETERS angstrom
5.072 0.000 0.000
0.000 5.072 0.000
-2.536 -2.536 4.729
! - calculated formation energy (eV/atom) = 0.055
! - final energy (eV/cell) = -128.1
! - DOS(E_F) (states/eV per cell) = 4.79
! - SG = No. 139
! - ΔE to the lowest computed polymorph (meV per atom) = 7

***

(7)
! ZrGeS SCAN single point on PBEsol structure; values from VASP
&SYSTEM
  ibrav = 0, nat = 6, ntyp = 3
/
ATOMIC_SPECIES
S 32.06 S.upf
Zr 91.22 Zr.upf
Ge 72.64 Ge.upf
ATOMIC_POSITIONS angstrom
S 0.000 1.801 3.030
S 1.801 0.000 4.951
Zr 0.000 1.801 5.774
Zr 1.801 0.000 2.206
Ge 0.000 0.000 0.000
Ge 1.801 1.801 0.000
CELL_PARAMETERS angstrom
3.602 0.000 0.000
0.000 3.602 0.000
0.000 0.000 7.980
! - final energy (eV/cell) = -126.7
! - DOS(E_F) (states/eV per cell) = 0.97
! - SG = No. 129

***

(8)
! ReRuSe2 SCAN single point on PBEsol structure; values from VASP
&SYSTEM
  ibrav = 0, nat = 4, ntyp = 3
/
ATOMIC_SPECIES
Se 78.96 Se.upf
Ru 101.07 Ru.upf
Re 186.21 Re.upf
ATOMIC_POSITIONS angstrom
Se -1.999 -0.612 2.296
Se -0.123 -0.002 0.011
Ru -2.269 -1.470 -0.188
Re 0.076 -2.015 1.710
CELL_PARAMETERS angstrom
-0.028 -2.871 -0.789
0.402 -1.156 4.189
-4.874 1.942 -1.270
! - final energy (eV/cell) = -143.5
! - DOS(E_F) (states/eV per cell) = 3.25
! - SG = No. 44
! - ΔE to the lowest computed polymorph (meV per atom) = 107